Entry 1:
A relaxed TbDy2Al2Ga2 crystal, computed with PBE.

POSCAR file:
```
TbDy2Al2Ga2
1.0
2.130 1.230 10.715
-2.130 1.230 10.715
0.000 -2.459 10.715
Tb Dy Al Ga
1 2 2 2
direct
0.000 0.000 0.000 Tb
0.125 0.125 0.125 Dy
0.875 0.875 0.875 Dy
0.393 0.393 0.393 Al
0.607 0.607 0.607 Al
0.262 0.262 0.262 Ga
0.738 0.738 0.738 Ga
```

## Properties
Energy of formation = -37.8 kJ per mole of atoms
SG = R-3m
Density of states at the Fermi level = 5.54 states/eV/f.u.
DFT total energy = -30.11 eV per cell
V = 24.1 Å³/atom


Entry 2:
A relaxed Dy2ThAl2Ga2 crystal, computed with PBE.

POSCAR file:
```
Dy2ThAl2Ga2
1.0
2.125 1.227 11.029
-2.125 1.227 11.029
0.000 -2.454 11.029
Dy Th Al Ga
2 1 2 2
direct
0.126 0.126 0.126 Dy
0.874 0.874 0.874 Dy
0.000 0.000 0.000 Th
0.395 0.395 0.395 Al
0.605 0.605 0.605 Al
0.261 0.261 0.261 Ga
0.739 0.739 0.739 Ga
```

## Properties
Energy of formation = -36.9 kJ per mole of atoms
SG = R-3m
Density of states at the Fermi level = 5.46 states/eV/f.u.
DFT total energy = -32.84 eV per cell
V = 24.6 Å³/atom


Entry 3:
A relaxed DyThAlGa crystal, computed with PBE.

POSCAR file:
```
DyThAlGa
1.0
0.000 3.661 3.661
3.661 0.000 3.661
3.661 3.661 0.000
Dy Th Al Ga
1 1 1 1
direct
0.000 0.000 0.000 Dy
0.500 0.500 0.500 Th
0.250 0.250 0.250 Al
0.750 0.750 0.750 Ga
```

## Properties
Energy of formation = -35.2 kJ per mole of atoms
SG = F-43m
Density of states at the Fermi level = 3.79 states/eV/f.u.
DFT total energy = -20.25 eV per cell
V = 24.5 Å³/atom


Entry 4:
A relaxed DyTmAlGa crystal, computed with PBE.

POSCAR file:
```
DyTmAlGa
1.0
4.040 0.000 0.000
0.000 2.191 5.457
0.000 -2.191 5.457
Dy Tm Al Ga
1 1 1 1
direct
0.000 0.000 0.000 Dy
0.500 0.280 0.280 Tm
0.000 0.713 0.713 Al
0.500 0.562 0.562 Ga
```

## Properties
Energy of formation = -48.8 kJ per mole of atoms
SG = Amm2
Energy above the lowest structure with this stoichiometry = 0.00 kJ per mole of atoms
Density of states at the Fermi level = 3.04 states/eV/f.u.
DFT total energy = -17.87 eV per cell
V = 24.1 Å³/atom